Record 1
# MnCuO2F

An optimized crystal structure of MnCuO2F (PBE+U, the Alexandria database).

Cell: 3.8114 3.8114 3.8924 Å, 90.00 90.00 90.00°
Element x y z (fractional)
Mn  0.0000  0.0000  0.0000
Cu  0.5000  0.5000  0.5000
O  0.0000  0.5000  0.0000
O  0.5000  0.0000  0.0000
F  0.0000  0.0000  0.5000

Calculated values
raw total energy	-27.8	eV for the cell shown
space-group type	P4/mmm (123)
N(E_F)	2.75	states/eV/cell

=====

Record 2
# MnCu2OF

An optimized crystal structure of MnCu2OF (PBE+U, the Alexandria database).

Cell: 4.7755 4.7755 3.5623 Å, 90.00 90.00 90.00°
Element x y z (fractional)
Mn  0.0000  0.0000  0.0000
Cu  0.0000  0.5000  0.0000
Cu  0.5000  0.0000  0.0000
O  0.0000  0.0000  0.5000
F  0.5000  0.5000  0.5000

Calculated values
raw total energy	-22.3	eV for the cell shown
space-group type	P4/mmm (123)
N(E_F)	0.00	states/eV/cell

=====

Record 3
# MnCuPbF6

An optimized crystal structure of MnCuPbF6 (PBE+U, the Alexandria database).

Cell: 5.5178 5.5178 10.5073 Å, 90.00 90.00 120.00°
Element x y z (fractional)
Mn  0.3333  0.6667  0.2500
Mn  0.6667  0.3333  0.7500
Cu  0.3333  0.6667  0.7500
Cu  0.6667  0.3333  0.2500
Pb  0.0000  0.0000  0.0000
Pb  0.0000  0.0000  0.5000
F  0.0123  0.3671  0.6419
F  0.0123  0.6451  0.8581
F  0.3549  0.3671  0.8581
F  0.3549  0.9877  0.6419
F  0.3671  0.0123  0.1419
F  0.3671  0.3549  0.3581
F  0.6329  0.6451  0.6419
F  0.6329  0.9877  0.8581
F  0.6451  0.0123  0.3581
F  0.6451  0.6329  0.1419
F  0.9877  0.3549  0.1419
F  0.9877  0.6329  0.3581

Calculated values
raw total energy	-92.2	eV for the cell shown
space-group type	P-31c (163)
N(E_F)	12.28	states/eV/cell

=====

Question: What is the N(E_F) in the second record?
Answer: 0.00 states/eV/cell

=====

Question: Among the records above, which one has the highest raw total energy?
Answer: MnCu2OF